Entry from Alexandria: an optimized crystal structure of MgCrF6 (PBE+U).

Output
Its total energy is -0.387 Ry/atom. For the spin magnetization, the calculation gives 0.25 μB per atom. Its crystal system is trigonal.

Cell: 5.6667 5.6667 5.6667 Å, 55.04 55.04 55.04°
With the nearest neighbours (Å) after each atom.
Fractional coordinates of all 8 atoms:
F: 0.9119 0.6497 0.2435  1 Cr 1.87, 1 Mg 2.03
F: 0.7903 0.0533 0.3873  1 Cr 1.86, 1 Mg 2.04
F: 0.3873 0.7903 0.0533  1 Cr 1.86, 1 Mg 2.04
F: 0.2435 0.9119 0.6497  1 Cr 1.87, 1 Mg 2.03
F: 0.6497 0.2435 0.9119  1 Cr 1.87, 1 Mg 2.03
F: 0.0533 0.3873 0.7903  1 Cr 1.86, 1 Mg 2.04
Cr: 0.0066 0.0066 0.0066  6 F 1.86-1.87
Mg: 0.6717 0.6717 0.6717  6 F 2.03-2.04